Compound: CdIr2Au
Source: Alexandria via LeMat-Bulk
Functional: PBE-GGA
Structure: optimized geometry

a b c (Å): 4.981 4.981 4.904
angles (deg): 80.44 80.44 33.28
Fractional coordinates of all 4 atoms:
Ir 0.000 0.000 0.998
Ir 0.500 0.500 0.502
Au 0.750 0.750 0.750
Cd 0.250 0.250 0.250

Values from the calculation:
Final energy in eV per atom: -5.231
Space-group type: C2/m (12)